Version a
Material: SmSi2Rh3
Method: DFT, PBE
State: optimized geometry

```
SmSi2Rh3
1.0
3.988 0.000 0.000
-1.994 7.593 -2.496
0.000 0.028 9.764
Sm Si Rh
3 6 9
Direct
0.160 0.320 0.700
0.840 0.680 0.300
0.000 0.000 0.000
0.196 0.392 0.128
0.804 0.608 0.872
0.466 0.931 0.225
0.534 0.069 0.775
0.362 0.723 0.554
0.638 0.277 0.446
0.041 0.082 0.331
0.959 0.918 0.669
0.218 0.437 0.393
0.782 0.563 0.607
0.622 0.245 0.199
0.378 0.755 0.801
0.500 0.000 0.500
0.323 0.647 0.042
0.677 0.353 0.958
```

Results
- crystal system = monoclinic


Version b
Material: SmSi2Rh3
Method: DFT, PBE
State: optimized geometry

```
SmSi2Rh3
1.0
-2.211 4.297 2.777
-1.625 -5.203 1.163
2.651 -0.265 2.520
Sm Si Rh
1 2 3
Direct
0.000 0.000 0.000
0.667 0.333 0.000
0.333 0.667 0.000
0.500 0.500 0.500
0.500 0.000 0.500
0.000 0.500 0.500
```

Results
- crystal system = hexagonal


Which structure is the most stable? The one labeled version b.


Version a
Material: Sm2Si3Rh2
Method: DFT, PBE
State: optimized geometry

```
Sm2Si3Rh2
1.0
4.052 0.000 -0.966
0.000 6.933 0.000
0.038 0.000 9.139
Sm Si Rh
4 6 4
Direct
0.157 0.250 0.314
0.843 0.750 0.686
0.944 0.250 0.889
0.056 0.750 0.111
0.223 0.750 0.446
0.777 0.250 0.554
0.561 0.428 0.121
0.439 0.572 0.879
0.439 0.928 0.879
0.561 0.072 0.121
0.692 0.952 0.384
0.308 0.048 0.616
0.308 0.452 0.616
0.692 0.548 0.384
```

Results
- crystal system = orthorhombic


Version b
Material: Sm2Si3Rh2
Method: DFT, PBE
State: optimized geometry

```
Sm2Si3Rh2
1.0
4.096 0.000 0.000
-2.048 5.263 -0.331
0.000 -2.827 6.175
Sm Si Rh
2 3 2
Direct
0.856 0.712 0.231
0.144 0.288 0.769
0.500 0.000 0.000
0.634 0.269 0.435
0.366 0.731 0.565
0.867 0.735 0.776
0.133 0.265 0.224
```

Results
- crystal system = monoclinic


Which structure is the most stable? The one labeled version a.


Version a
Material: SiSnRh4
Method: DFT, PBE
State: optimized geometry

```
SiSnRh4
1.0
-0.486 3.957 1.031
-0.899 1.021 3.884
6.214 2.107 3.065
Si Sn Rh
1 1 4
Direct
0.000 0.000 0.000
0.500 0.500 0.500
0.632 0.632 0.104
0.368 0.368 0.896
0.115 0.115 0.655
0.885 0.885 0.345
```

Results
- crystal system = trigonal


Version b
Material: SiSnRh4
Method: DFT, PBE
State: optimized geometry

```
SiSnRh4
1.0
-0.488 -2.462 1.503
5.533 -3.093 -3.269
10.451 5.533 12.452
Si Sn Rh
4 4 16
Direct
0.750 0.253 0.455
0.250 0.747 0.545
0.250 0.247 0.955
0.750 0.753 0.045
0.750 0.701 0.814
0.250 0.299 0.186
0.250 0.799 0.314
0.750 0.201 0.686
0.750 0.827 0.653
0.250 0.173 0.347
0.250 0.673 0.153
0.750 0.327 0.847
0.750 0.892 0.445
0.250 0.108 0.555
0.250 0.608 0.945
0.750 0.392 0.055
0.750 0.973 0.931
0.250 0.027 0.069
0.250 0.527 0.431
0.750 0.473 0.569
0.750 0.985 0.207
0.250 0.015 0.793
0.250 0.515 0.707
0.750 0.485 0.293
```

Results
- crystal system = orthorhombic


Which structure is the most stable? The one labeled version b.


Version a
Material: SiSnRh3
Method: DFT, PBE
State: optimized geometry

```
SiSnRh3
1.0
-1.712 4.085 0.024
-2.379 -1.018 3.595
3.321 1.377 2.587
Si Rh Sn
1 3 1
Direct
0.000 0.000 0.000
0.000 0.500 0.000
0.000 0.000 0.500
0.500 0.000 0.000
0.500 0.500 0.500
```

Results
- crystal system = cubic


Version b
Material: SiSnRh3
Method: DFT, PBE
State: optimized geometry

```
SiSnRh3
1.0
4.817 0.000 0.000
0.000 4.817 0.000
0.000 0.000 4.817
Si Rh Sn
1 3 1
Direct
0.500 0.500 0.500
0.000 0.500 0.000
0.000 0.000 0.500
0.500 0.000 0.000
0.000 0.000 0.000
```

Results
- crystal system = cubic


Which structure is the most stable? The one labeled version a.